1.
{
  "formula": "SiAgSn2",
  "functional": "PBE",
  "state": "relaxed",
  "e_tot_ev_per_fu": -14.7,
  "crystal_system": "cubic",
  "cell": [[-4.150, -1.951, 2.027], [-4.203, -0.321, -2.714], [-1.666, -4.477, -1.521]],
  "species": ["Ag", "Si", "Sn", "Sn"],
  "frac_coords": [[0.750, 0.750, 0.750], [0.000, 0.000, 0.000], [0.250, 0.250, 0.250], [0.500, 0.500, 0.500]]
}



2.
{
  "formula": "Si2Ag2Sn3",
  "functional": "PBE",
  "state": "relaxed",
  "e_tot_ev_per_fu": -25.8,
  "crystal_system": "trigonal",
  "cell": [[-6.882, 3.439, 3.439], [-3.439, 3.439, 6.882], [-3.439, 6.882, 3.439]],
  "species": ["Ag", "Ag", "Si", "Si", "Sn", "Sn", "Sn"],
  "frac_coords": [[0.014, 0.014, 0.014], [0.497, 0.497, 0.497], [0.249, 0.249, 0.249], [0.746, 0.746, 0.746], [0.380, 0.380, 0.380], [0.623, 0.623, 0.623], [0.865, 0.865, 0.865]]
}



3.
{
  "formula": "Ta3Si5Ag",
  "functional": "PBE",
  "state": "relaxed",
  "total_magnetization_mub_per_cell": 0.00,
  "e_tot_ev_per_fu": -63.5,
  "crystal_system": "hexagonal",
  "cell": [[5.570, 0.000, 0.000], [-2.785, 4.824, 0.000], [0.000, 0.000, 6.440]],
  "species": ["Ag", "Si", "Si", "Si", "Si", "Si", "Ta", "Ta", "Ta"],
  "frac_coords": [[0.000, 0.000, 0.000], [0.667, 0.333, 0.178], [0.333, 0.667, 0.178], [0.000, 0.000, 0.500], [0.667, 0.333, 0.822], [0.333, 0.667, 0.822], [0.500, 0.000, 0.500], [0.000, 0.500, 0.500], [0.500, 0.500, 0.500]]
}



4.
{
  "formula": "TaSi2Ag",
  "functional": "PBE",
  "state": "relaxed",
  "total_magnetization_mub_per_cell": 0.00,
  "e_tot_ev_per_fu": -24.3,
  "crystal_system": "orthorhombic",
  "cell": [[-1.661, -3.434, -2.320], [2.776, -3.333, 2.946], [-4.291, -0.372, 3.623]],
  "species": ["Ag", "Ag", "Si", "Si", "Si", "Si", "Ta", "Ta"],
  "frac_coords": [[0.000, 0.001, 0.250], [0.000, 0.999, 0.750], [0.500, 0.000, 0.000], [0.500, 0.503, 0.250], [0.500, 0.000, 0.500], [0.500, 0.497, 0.750], [0.000, 0.500, 0.000], [0.000, 0.500, 0.500]]
}



5.
{
  "formula": "TaSi2Ag",
  "functional": "PBE",
  "state": "relaxed",
  "total_magnetization_mub_per_cell": 0.00,
  "e_tot_ev_per_fu": -23.3,
  "crystal_system": "cubic",
  "cell": [[4.264, -1.488, 0.147], [0.872, -4.409, -0.473], [1.995, -1.518, -3.760]],
  "species": ["Ag", "Si", "Si", "Ta"],
  "frac_coords": [[0.750, 0.750, 0.750], [0.250, 0.250, 0.250], [0.500, 0.500, 0.500], [0.000, 0.000, 0.000]]
}



6.
{
  "formula": "SiTc2Ag",
  "functional": "PBE",
  "state": "relaxed",
  "total_magnetization_mub_per_cell": 0.00,
  "e_tot_ev_per_fu": -27.7,
  "crystal_system": "cubic",
  "cell": [[-2.813, -1.350, 3.059], [-3.465, -2.411, -1.129], [-0.172, -4.226, 1.097]],
  "species": ["Ag", "Si", "Tc", "Tc"],
  "frac_coords": [[0.250, 0.250, 0.250], [0.500, 0.500, 0.500], [0.000, 0.000, 0.000], [0.750, 0.750, 0.750]]
}